A plane-wave DFT calculation with PBE was carried out for a relaxed LaPrDy3Sc crystal.

The space group is Cmcm (No. 63) and the conventional cell measures 5.052, 15.052 and 10.097 Å, with angles of 90.00, 90.00 and 90.00 degrees. Symmetry generates all atoms from La at (0.000, 0.002, 0.250), Pr at (0.000, 0.500, 0.000), Dy at (0.000, 0.170, 0.000), Dy at (0.000, 0.328, 0.250) and Sc at (0.000, 0.330, 0.750).

The total DFT energy (no corrections) comes out at -4.925 eV per atom. The calculation puts the volume at 768 Å³/cell. The formation energy is 48.7 meV/atom.